# Mo2AsPt

A geometry-optimized Mo2AsPt structure (PBE, the Alexandria database).

Energy of formation (eV/atom): -0.029
D(E_F) (states/eV/atom): 0.948
Space group: P2/m (10)

abc: 2.807 4.086 5.618
angles: 90.00 102.94 90.00
Element x y z (fractional)
Mo  0.106  0.000  0.256
Mo  0.894  0.000  0.744
As  0.500  0.500  0.500
Pt  0.500  0.500  0.000